VASP calculation (PBE with a Hubbard U) on an optimized crystal structure of FeNiAg2F7.

Computed properties:
Size of the total moment ... 0.6373 μB per atom
E_tot ... -47.47 eV per formula unit

Cell: 7.524 7.524 7.524 Å, 119.89 91.46 118.43°
Fractional coordinates of all 22 atoms:
Fe: 0.500 0.000 0.000
Fe: 0.500 0.500 0.500
Ni: 0.000 0.000 0.000
Ni: 0.500 0.000 0.500
Ag: 0.000 0.000 0.500
Ag: 0.000 0.500 0.000
Ag: 0.000 0.500 0.500
Ag: 0.500 0.500 0.000
F: 0.131 0.227 0.904
F: 0.177 0.773 0.404
F: 0.198 0.276 0.318
F: 0.198 0.880 0.922
F: 0.417 0.667 0.750
F: 0.458 0.276 0.578
F: 0.458 0.880 0.182
F: 0.542 0.120 0.818
F: 0.542 0.724 0.422
F: 0.583 0.333 0.250
F: 0.802 0.120 0.078
F: 0.802 0.724 0.682
F: 0.823 0.227 0.596
F: 0.869 0.773 0.096